{
  "formula": "Rb2MgBeI6",
  "functional": "GGA-PBE",
  "state": "optimized geometry",
  "lattice": [[0.000, 5.709, 5.709], [5.709, 0.000, 5.709], [5.709, 5.709, 0.000]],
  "species": ["Rb", "Rb", "Mg", "Be", "I", "I", "I", "I", "I", "I"],
  "frac_coords": [[0.250, 0.250, 0.250], [0.750, 0.750, 0.750], [0.000, 0.000, 0.000], [0.500, 0.500, 0.500], [0.259, 0.259, 0.741], [0.259, 0.741, 0.259], [0.259, 0.741, 0.741], [0.741, 0.259, 0.259], [0.741, 0.259, 0.741], [0.741, 0.741, 0.259]],
  "formation_energy_uncorrected_ev_per_atom": -0.8885,
  "dft_energy_ev_per_atom": -2.544,
  "total_magnetization_mub_per_cell": 0.00,
  "sg": "Fm-3m",
  "n_ef_per_ev_atom": 0.000
}